No. 1
# SrAlAg2, optimized geometry, DFT PBE
# VASP energy: -2.8330 eV/atom
data_SrAlAg2
_chemical_formula_sum 'Sr1 Al1 Ag2'
_space_group_name_H-M_alt 'P 1 2/m 1'
_space_group_IT_number 10
_cell_length_a 3.419
_cell_length_b 4.370
_cell_length_c 6.582
_cell_angle_alpha 90.00
_cell_angle_beta 102.67
_cell_angle_gamma 90.00
loop_
_space_group_symop_operation_xyz
'x,y,z'
'-x,-y,-z'
'-x,y,-z'
'x,-y,z'
loop_
_atom_site_label
_atom_site_type_symbol
_atom_site_fract_x
_atom_site_fract_y
_atom_site_fract_z
Sr1 Sr 0.000 0.000 0.000
Al1 Al 0.500 0.000 0.500
Ag1 Ag 0.335 0.500 0.695

No. 2
# ZnPt2W, optimized geometry, DFT PBE
# VASP energy: -6.6985 eV/atom
data_ZnPt2W
_chemical_formula_sum 'Zn2 Pt4 W2'
_space_group_name_H-M_alt 'I 4/m m m'
_space_group_IT_number 139
_space_group_name_Hall '-I 4 2'
_cell_length_a 3.921
_cell_length_b 3.921
_cell_length_c 7.918
_cell_angle_alpha 90.00
_cell_angle_beta 90.00
_cell_angle_gamma 90.00
loop_
_atom_site_label
_atom_site_type_symbol
_atom_site_fract_x
_atom_site_fract_y
_atom_site_fract_z
Zn1 Zn 0.000 0.000 0.000
Pt1 Pt 0.000 0.500 0.250
W1 W 0.000 0.000 0.500

No. 3
# YTaPt3, optimized geometry, DFT PBE
# E above lowest polymorph: 6.66 eV per formula unit
data_YTaPt3
_chemical_formula_sum 'Y1 Ta1 Pt3'
_space_group_name_H-M_alt 'P m -3 m'
_space_group_IT_number 221
_space_group_name_Hall '-P 4 2 3'
_cell_length_a 4.937
_cell_length_b 4.937
_cell_length_c 4.937
_cell_angle_alpha 90.00
_cell_angle_beta 90.00
_cell_angle_gamma 90.00
loop_
_atom_site_label
_atom_site_type_symbol
_atom_site_fract_x
_atom_site_fract_y
_atom_site_fract_z
Y1 Y 0.000 0.000 0.000
Ta1 Ta 0.500 0.500 0.500
Pt1 Pt 0.000 0.000 0.500

No. 4
# KNaSiB2, optimized geometry, DFT PBE
# ΔE_f (raw): 1020 meV/atom
data_KNaSiB2
_chemical_formula_sum 'K1 Na1 Si1 B2'
_space_group_name_H-M_alt 'P 4/m m m'
_space_group_IT_number 123
_space_group_name_Hall '-P 4 2'
_cell_length_a 4.149
_cell_length_b 4.149
_cell_length_c 5.202
_cell_angle_alpha 90.00
_cell_angle_beta 90.00
_cell_angle_gamma 90.00
loop_
_atom_site_label
_atom_site_type_symbol
_atom_site_fract_x
_atom_site_fract_y
_atom_site_fract_z
K1 K 0.000 0.000 0.000
Na1 Na 0.500 0.500 0.000
Si1 Si 0.500 0.500 0.500
B1 B 0.000 0.500 0.500

No. 5
# LiGdSn, optimized geometry, DFT PBE
# VASP energy: -7.2476 eV/atom
data_LiGdSn
_chemical_formula_sum 'Li1 Gd1 Sn1'
_space_group_name_H-M_alt 'P -6 m 2'
_space_group_IT_number 187
_space_group_name_Hall 'P -6 2'
_cell_length_a 4.7870
_cell_length_b 4.7870
_cell_length_c 3.6026
_cell_angle_alpha 90.00
_cell_angle_beta 90.00
_cell_angle_gamma 120.00
loop_
_atom_site_label
_atom_site_type_symbol
_atom_site_fract_x
_atom_site_fract_y
_atom_site_fract_z
Li1 Li 0.0000 0.0000 0.0000
Gd1 Gd 0.6667 0.3333 0.5000
Sn1 Sn 0.3333 0.6667 0.0000

No. 6
# Sr3Bi4, optimized geometry, DFT PBE
# VASP energy: -3.6560 eV/atom
data_Sr3Bi4
_chemical_formula_sum 'Sr12 Bi16'
_space_group_name_H-M_alt 'C m c 21'
_space_group_IT_number 36
_cell_length_a 4.775
_cell_length_b 12.565
_cell_length_c 17.159
_cell_angle_alpha 90.00
_cell_angle_beta 90.00
_cell_angle_gamma 90.00
loop_
_space_group_symop_operation_xyz
'x,y,z'
'-x,-y,z+1/2'
'-x,y,z'
'x,-y,z+1/2'
'x+1/2,y+1/2,z'
'-x+1/2,-y+1/2,z+1/2'
'-x+1/2,y+1/2,z'
'x+1/2,-y+1/2,z+1/2'
loop_
_atom_site_label
_atom_site_type_symbol
_atom_site_fract_x
_atom_site_fract_y
_atom_site_fract_z
Sr1 Sr 0.000 0.064 0.000
Sr2 Sr 0.000 0.332 0.847
Sr3 Sr 0.000 0.333 0.153
Bi1 Bi 0.000 0.000 0.250
Bi2 Bi 0.000 0.209 0.500
Bi3 Bi 0.000 0.378 0.356
Bi4 Bi 0.000 0.378 0.643

No. 7
# NdAl4Pd2Pt, optimized geometry, DFT PBE
# VASP energy: -5.3307 eV/atom
data_NdAl4Pd2Pt
_chemical_formula_sum 'Nd3 Al12 Pd6 Pt3'
_space_group_name_H-M_alt 'R -3 m'
_space_group_IT_number 166
_space_group_name_Hall '-R 3 2"'
_cell_length_a 4.2939
_cell_length_b 4.2939
_cell_length_c 27.1172
_cell_angle_alpha 90.00
_cell_angle_beta 90.00
_cell_angle_gamma 120.00
loop_
_atom_site_label
_atom_site_type_symbol
_atom_site_fract_x
_atom_site_fract_y
_atom_site_fract_z
Nd1 Nd 0.0000 0.0000 0.0000
Al1 Al 0.0000 0.0000 0.1337
Al2 Al 0.0000 0.0000 0.4044
Pd1 Pd 0.0000 0.0000 0.2372
Pt1 Pt 0.0000 0.0000 0.5000

No. 8
# Y6P5S, optimized geometry, DFT PBE
# ΔE_f (raw): -1743 meV/atom
data_Y6P5S
_chemical_formula_sum 'Y12 P10 S2'
_space_group_name_H-M_alt 'C 1 2/m 1'
_space_group_IT_number 12
_cell_length_a 6.929
_cell_length_b 11.993
_cell_length_c 6.931
_cell_angle_alpha 90.00
_cell_angle_beta 109.45
_cell_angle_gamma 90.00
loop_
_space_group_symop_operation_xyz
'x,y,z'
'-x,-y,-z'
'-x,y,-z'
'x,-y,z'
'x+1/2,y+1/2,z'
'-x+1/2,-y+1/2,-z'
'-x+1/2,y+1/2,-z'
'x+1/2,-y+1/2,z'
loop_
_atom_site_label
_atom_site_type_symbol
_atom_site_fract_x
_atom_site_fract_y
_atom_site_fract_z
Y1 Y 0.247 0.000 0.253
Y2 Y 0.247 0.169 0.748
P1 P 0.000 0.000 0.500
P2 P 0.000 0.167 0.000
P3 P 0.000 0.334 0.500
S1 S 0.000 0.500 0.000

No. 9
# Nb2InAs2, optimized geometry, DFT PBE
# E above lowest polymorph: 0.00 eV per formula unit
data_Nb2InAs2
_chemical_formula_sum 'Nb4 In2 As4'
_space_group_name_H-M_alt 'P 4/m b m'
_space_group_IT_number 127
_space_group_name_Hall '-P 4 2ab'
_cell_length_a 7.486
_cell_length_b 7.486
_cell_length_c 3.355
_cell_angle_alpha 90.00
_cell_angle_beta 90.00
_cell_angle_gamma 90.00
loop_
_atom_site_label
_atom_site_type_symbol
_atom_site_fract_x
_atom_site_fract_y
_atom_site_fract_z
Nb1 Nb 0.144 0.356 0.000
In1 In 0.000 0.000 0.000
As1 As 0.145 0.645 0.500

No. 10
# LaDyGa2Pt5, optimized geometry, DFT PBE
# VASP energy: -5.9798 eV/atom
data_LaDyGa2Pt5
_chemical_formula_sum 'La1 Dy1 Ga2 Pt5'
_space_group_name_H-M_alt 'P 4/m m m'
_space_group_IT_number 123
_space_group_name_Hall '-P 4 2'
_cell_length_a 4.259
_cell_length_b 4.259
_cell_length_c 9.358
_cell_angle_alpha 90.00
_cell_angle_beta 90.00
_cell_angle_gamma 90.00
loop_
_atom_site_label
_atom_site_type_symbol
_atom_site_fract_x
_atom_site_fract_y
_atom_site_fract_z
La1 La 0.000 0.000 0.000
Dy1 Dy 0.000 0.000 0.500
Ga1 Ga 0.500 0.500 0.370
Pt1 Pt 0.000 0.500 0.233
Pt2 Pt 0.500 0.500 0.000

No. 11
# La2Mg2Ag15, optimized geometry, DFT PBE
# VASP energy: -3.0677 eV/atom
data_La2Mg2Ag15
_chemical_formula_sum 'La6 Mg6 Ag45'
_space_group_name_H-M_alt 'R -3 m'
_space_group_IT_number 166
_space_group_name_Hall '-R 3 2"'
_cell_length_a 9.6712
_cell_length_b 9.6712
_cell_length_c 14.4944
_cell_angle_alpha 90.00
_cell_angle_beta 90.00
_cell_angle_gamma 120.00
loop_
_atom_site_label
_atom_site_type_symbol
_atom_site_fract_x
_atom_site_fract_y
_atom_site_fract_z
La1 La 0.0000 0.0000 0.1487
Mg1 Mg 0.0000 0.0000 0.3955
Ag1 Ag 0.0000 0.2993 0.5000
Ag2 Ag 0.0000 0.5000 0.0000
Ag3 Ag 0.0026 0.5013 0.6504

No. 12
# Ca4InIr, optimized geometry, DFT PBE
# E above lowest polymorph: 5.53 eV per formula unit
data_Ca4InIr
_chemical_formula_sum 'Ca16 In4 Ir4'
_space_group_name_H-M_alt 'F -4 3 m'
_space_group_IT_number 216
_space_group_name_Hall 'F -4 2 3'
_cell_length_a 8.600
_cell_length_b 8.600
_cell_length_c 8.600
_cell_angle_alpha 90.00
_cell_angle_beta 90.00
_cell_angle_gamma 90.00
loop_
_atom_site_label
_atom_site_type_symbol
_atom_site_fract_x
_atom_site_fract_y
_atom_site_fract_z
Ca1 Ca 0.124 0.124 0.376
In1 In 0.000 0.000 0.000
Ir1 Ir 0.250 0.250 0.750

No. 13
# KSb2Rh, optimized geometry, DFT PBE
# ΔE_f (raw): -138 meV/atom
# E above lowest polymorph: 1.06 eV per formula unit
data_KSb2Rh
_chemical_formula_sum 'K4 Sb8 Rh4'
_space_group_name_H-M_alt 'I -4 2 d'
_space_group_IT_number 122
_space_group_name_Hall 'I -4 2bw'
_cell_length_a 8.310
_cell_length_b 8.310
_cell_length_c 6.562
_cell_angle_alpha 90.00
_cell_angle_beta 90.00
_cell_angle_gamma 90.00
loop_
_atom_site_label
_atom_site_type_symbol
_atom_site_fract_x
_atom_site_fract_y
_atom_site_fract_z
K1 K 0.000 0.000 0.000
Sb1 Sb 0.162 0.250 0.625
Rh1 Rh 0.000 0.000 0.500

No. 14
# InGa2Ni2, optimized geometry, DFT PBE
# E above lowest polymorph: 0.74 eV per formula unit
data_InGa2Ni2
_chemical_formula_sum 'In2 Ga4 Ni4'
_space_group_name_H-M_alt 'P 4/m b m'
_space_group_IT_number 127
_space_group_name_Hall '-P 4 2ab'
_cell_length_a 7.408
_cell_length_b 7.408
_cell_length_c 2.723
_cell_angle_alpha 90.00
_cell_angle_beta 90.00
_cell_angle_gamma 90.00
loop_
_atom_site_label
_atom_site_type_symbol
_atom_site_fract_x
_atom_site_fract_y
_atom_site_fract_z
In1 In 0.000 0.000 0.000
Ga1 Ga 0.124 0.376 0.000
Ni1 Ni 0.172 0.672 0.500

No. 15
# Pm2Zn2Co3, optimized geometry, DFT PBE
# VASP energy: -4.9055 eV/atom
data_Pm2Zn2Co3
_chemical_formula_sum 'Pm4 Zn4 Co6'
_space_group_name_H-M_alt 'C 1 2/m 1'
_space_group_IT_number 12
_cell_length_a 10.352
_cell_length_b 4.160
_cell_length_c 6.278
_cell_angle_alpha 90.00
_cell_angle_beta 103.42
_cell_angle_gamma 90.00
loop_
_space_group_symop_operation_xyz
'x,y,z'
'-x,-y,-z'
'-x,y,-z'
'x,-y,z'
'x+1/2,y+1/2,z'
'-x+1/2,-y+1/2,-z'
'-x+1/2,y+1/2,-z'
'x+1/2,-y+1/2,z'
loop_
_atom_site_label
_atom_site_type_symbol
_atom_site_fract_x
_atom_site_fract_y
_atom_site_fract_z
Pm1 Pm 0.167 0.000 0.205
Zn1 Zn 0.103 0.000 0.683
Co1 Co 0.000 0.500 0.500
Co2 Co 0.057 0.500 0.873

No. 16
# Ac12Tb5Zr3, optimized geometry, DFT PBE
# VASP energy: -3.8833 eV/atom
data_Ac12Tb5Zr3
_chemical_formula_sum 'Ac96 Tb40 Zr24'
_space_group_name_H-M_alt 'I a -3 d'
_space_group_IT_number 230
_space_group_name_Hall '-I 4bd 2c 3'
_cell_length_a 19.579
_cell_length_b 19.579
_cell_length_c 19.579
_cell_angle_alpha 90.00
_cell_angle_beta 90.00
_cell_angle_gamma 90.00
loop_
_atom_site_label
_atom_site_type_symbol
_atom_site_fract_x
_atom_site_fract_y
_atom_site_fract_z
Ac1 Ac 0.016 0.088 0.646
Tb1 Tb 0.000 0.000 0.000
Tb2 Tb 0.000 0.250 0.375
Zr1 Zr 0.000 0.250 0.125

No. 17
# Ac2GaBr, optimized geometry, DFT PBE
# ΔE_f (raw): -755 meV/atom
# E above lowest polymorph: 0.64 eV per formula unit
data_Ac2GaBr
_chemical_formula_sum 'Ac8 Ga4 Br4'
_space_group_name_H-M_alt 'F m -3 m'
_space_group_IT_number 225
_space_group_name_Hall '-F 4 2 3'
_cell_length_a 7.952
_cell_length_b 7.952
_cell_length_c 7.952
_cell_angle_alpha 90.00
_cell_angle_beta 90.00
_cell_angle_gamma 90.00
loop_
_atom_site_label
_atom_site_type_symbol
_atom_site_fract_x
_atom_site_fract_y
_atom_site_fract_z
Ac1 Ac 0.250 0.250 0.250
Ga1 Ga 0.000 0.000 0.000
Br1 Br 0.000 0.000 0.500

No. 18
# NaAcH6Pd2, optimized geometry, DFT PBE
# VASP energy: -3.8096 eV/atom
data_NaAcH6Pd2
_chemical_formula_sum 'Na3 Ac3 H18 Pd6'
_space_group_name_H-M_alt 'R -3 m'
_space_group_IT_number 166
_space_group_name_Hall '-R 3 2"'
_cell_length_a 4.8999
_cell_length_b 4.8999
_cell_length_c 16.4408
_cell_angle_alpha 90.00
_cell_angle_beta 90.00
_cell_angle_gamma 120.00
loop_
_atom_site_label
_atom_site_type_symbol
_atom_site_fract_x
_atom_site_fract_y
_atom_site_fract_z
Na1 Na 0.0000 0.0000 0.0000
Ac1 Ac 0.0000 0.0000 0.5000
H1 H 0.0062 0.5031 0.4344
Pd1 Pd 0.0000 0.0000 0.2896

No. 19
# AgSn2Pb2, optimized geometry, DFT PBE
# E above lowest polymorph: 0.24 eV per formula unit
data_AgSn2Pb2
_chemical_formula_sum 'Ag2 Sn4 Pb4'
_space_group_name_H-M_alt 'P 4/m b m'
_space_group_IT_number 127
_space_group_name_Hall '-P 4 2ab'
_cell_length_a 7.386
_cell_length_b 7.386
_cell_length_c 5.230
_cell_angle_alpha 90.00
_cell_angle_beta 90.00
_cell_angle_gamma 90.00
loop_
_atom_site_label
_atom_site_type_symbol
_atom_site_fract_x
_atom_site_fract_y
_atom_site_fract_z
Ag1 Ag 0.000 0.000 0.000
Sn1 Sn 0.143 0.357 0.000
Pb1 Pb 0.175 0.675 0.500

No. 20
# CsU2Cl8, optimized geometry, DFT PBE
# ΔE_f (raw): -1786 meV/atom
# E above lowest polymorph: 0.00 eV per formula unit
data_CsU2Cl8
_chemical_formula_sum 'Cs2 U4 Cl16'
_space_group_name_H-M_alt 'C 1 2/m 1'
_space_group_IT_number 12
_cell_length_a 8.638
_cell_length_b 13.130
_cell_length_c 5.516
_cell_angle_alpha 90.00
_cell_angle_beta 98.06
_cell_angle_gamma 90.00
loop_
_space_group_symop_operation_xyz
'x,y,z'
'-x,-y,-z'
'-x,y,-z'
'x,-y,z'
'x+1/2,y+1/2,z'
'-x+1/2,-y+1/2,-z'
'-x+1/2,y+1/2,-z'
'x+1/2,-y+1/2,z'
loop_
_atom_site_label
_atom_site_type_symbol
_atom_site_fract_x
_atom_site_fract_y
_atom_site_fract_z
Cs1 Cs 0.000 0.000 0.000
U1 U 0.000 0.323 0.500
Cl1 Cl 0.000 0.272 0.000
Cl2 Cl 0.093 0.500 0.765
Cl3 Cl 0.189 0.142 0.568